--- P ---
A relaxed structure of Sr2IrN2O2. Source: the Open Quantum Materials Database, functional GGA-PBE.

The structure in POSCAR format:
```
Sr2IrN2O2
1.0
0.023 -0.052 7.054
-4.015 -3.116 4.893
3.787 -0.509 -5.930
O Sr N Ir
2 2 2 1
Direct
0.985 0.985 0.000
0.337 0.837 0.500
0.153 0.653 0.500
0.855 0.355 0.500
0.501 0.501 0.000
0.659 0.159 0.500
0.509 0.009 0.500
```

V in Å³/cell: 98.4


--- Q ---
A relaxed structure of Sr2IrN2O2. Source: the Open Quantum Materials Database, functional GGA-PBE.

The structure in POSCAR format:
```
Sr2IrN2O2
1.0
2.893 5.050 3.927
-2.532 4.877 4.371
0.045 -6.709 -2.071
Sr Ir O N
2 1 2 2
Direct
0.649 0.649 0.000
0.351 0.351 0.000
0.000 0.000 0.000
0.836 0.836 0.000
0.164 0.164 0.000
0.500 0.000 0.500
0.000 0.500 0.500
```

V in Å³/cell: 96.0


Preferred: Q; penalty for the next structure: 0.139 eV/atom.


--- P ---
A relaxed structure of Sr2TaIrN4O2. Source: the Open Quantum Materials Database, functional GGA-PBE.

The structure in POSCAR format:
```
Sr2TaIrN4O2
1.0
5.657 0.000 0.000
0.058 5.670 0.000
0.019 0.040 7.988
Sr N Ta Ir O
4 8 2 2 4
Direct
0.498 0.518 0.750
0.493 0.516 0.249
0.012 0.986 0.750
0.007 0.986 0.249
0.983 0.490 0.248
0.753 0.735 0.995
0.751 0.243 0.510
0.012 0.507 0.756
0.253 0.260 0.003
0.259 0.254 0.498
0.758 0.240 0.989
0.514 0.008 0.252
0.999 0.494 0.506
0.509 0.002 0.000
0.503 0.029 0.487
0.989 0.476 0.007
0.740 0.751 0.505
0.241 0.764 0.487
0.478 0.985 0.745
0.248 0.755 0.012
```

V in Å³/cell: 256.2


--- Q ---
A relaxed structure of Sr2TaIrN4O2. Source: the Open Quantum Materials Database, functional GGA-PBE.

The structure in POSCAR format:
```
Sr2TaIrN4O2
1.0
-3.006 0.207 -4.758
3.984 -2.965 -2.668
-3.701 -6.850 2.016
O N Sr Ta Ir
4 8 4 2 2
Direct
0.231 0.232 0.975
0.772 0.779 0.016
0.484 0.026 0.248
0.269 0.731 0.491
0.006 0.477 0.253
0.507 0.979 0.749
0.277 0.744 0.006
0.722 0.263 0.994
0.740 0.258 0.509
0.232 0.245 0.512
0.771 0.752 0.484
0.990 0.522 0.749
0.998 0.998 0.751
0.488 0.500 0.747
0.011 0.997 0.251
0.502 0.502 0.256
0.003 0.503 0.011
0.505 0.001 0.500
0.987 0.486 0.511
0.503 0.004 0.985
```

V in Å³/cell: 255.3


Preferred: P; penalty for the next structure: 0.033 eV/atom.


--- P ---
A relaxed structure of Sr2TaIrN4O2. Source: the Open Quantum Materials Database, functional GGA-PBE.

The structure in POSCAR format:
```
Sr2TaIrN4O2
1.0
5.656 0.000 0.000
0.080 5.674 0.000
0.018 0.044 7.987
N Sr O Ir Ta
8 4 4 2 2
Direct
0.984 0.494 0.241
0.737 0.736 0.994
0.016 0.504 0.756
0.263 0.241 0.494
0.250 0.750 0.490
0.740 0.754 0.505
0.479 0.992 0.750
0.232 0.766 0.011
0.990 0.013 0.750
0.507 0.484 0.752
0.986 0.013 0.248
0.504 0.484 0.247
0.521 0.011 0.251
0.769 0.233 0.990
0.276 0.277 0.009
0.755 0.244 0.514
0.485 0.980 0.512
0.002 0.531 0.995
0.494 0.993 0.998
0.007 0.501 0.493
```

V in Å³/cell: 256.3


--- Q ---
A relaxed structure of Sr2TaIrN4O2. Source: the Open Quantum Materials Database, functional GGA-PBE.

The structure in POSCAR format:
```
Sr2TaIrN4O2
1.0
5.674 0.000 0.000
0.031 5.679 0.000
0.014 0.014 7.938
O N Sr Ta Ir
4 8 4 2 2
Direct
0.717 0.714 0.982
0.270 0.263 0.019
0.244 0.766 0.511
0.778 0.223 0.010
0.500 0.022 0.762
0.007 0.481 0.745
0.756 0.250 0.493
0.508 0.981 0.239
0.232 0.764 0.993
0.995 0.524 0.254
0.751 0.744 0.511
0.253 0.266 0.488
0.494 0.503 0.748
0.501 0.499 0.246
0.999 0.000 0.749
0.007 0.005 0.250
0.506 0.010 0.499
0.005 0.504 0.000
0.490 0.986 0.000
0.988 0.493 0.500
```

V in Å³/cell: 255.8


--- R ---
A relaxed structure of Sr2TaIrN4O2. Source: the Open Quantum Materials Database, functional GGA-PBE.

The structure in POSCAR format:
```
Sr2TaIrN4O2
1.0
5.639 0.000 0.000
-0.011 5.640 0.000
-0.011 -0.002 8.032
Sr N O Ir Ta
4 8 4 2 2
Direct
0.000 0.999 0.247
0.998 0.003 0.750
0.504 0.508 0.752
0.506 0.504 0.250
0.256 0.757 0.989
0.749 0.760 0.997
0.264 0.267 0.496
0.742 0.251 0.012
0.250 0.248 0.005
0.005 0.517 0.251
0.489 0.982 0.253
0.509 0.016 0.754
0.985 0.479 0.742
0.777 0.223 0.478
0.730 0.721 0.503
0.229 0.761 0.514
0.011 0.489 0.483
0.498 0.006 0.016
0.001 0.505 0.996
0.498 0.004 0.513
```

V in Å³/cell: 255.5


Preferred: P; penalty for the next structure: 0.041 eV/atom.


--- P ---
A relaxed structure of Sr2TaIrN4O2. Source: the Open Quantum Materials Database, functional GGA-PBE.

The structure in POSCAR format:
```
Sr2TaIrN4O2
1.0
5.627 0.000 0.000
0.025 5.645 0.000
0.019 0.011 8.046
N Sr Ir O Ta
8 4 2 4 2
Direct
0.252 0.755 0.990
0.752 0.735 0.512
0.746 0.751 0.986
0.745 0.241 0.014
0.256 0.247 0.011
0.251 0.272 0.488
0.759 0.246 0.491
0.502 0.021 0.748
0.010 0.991 0.249
0.500 0.509 0.246
0.004 0.997 0.751
0.492 0.507 0.750
0.503 0.003 0.977
0.990 0.490 0.508
0.494 0.965 0.250
0.998 0.466 0.753
0.998 0.532 0.255
0.239 0.765 0.520
0.001 0.499 0.007
0.507 0.008 0.494
```

V in Å³/cell: 255.6


--- Q ---
A relaxed structure of Sr2TaIrN4O2. Source: the Open Quantum Materials Database, functional GGA-PBE.

The structure in POSCAR format:
```
Sr2TaIrN4O2
1.0
-1.754 5.050 -1.772
-1.131 -2.170 -5.066
-7.490 -1.791 2.440
Ta N O Sr Ir
2 8 4 4 2
Direct
0.754 0.007 0.253
0.246 0.507 0.747
0.983 0.248 0.759
0.488 0.256 0.260
0.003 0.757 0.763
0.268 0.497 0.998
0.017 0.748 0.241
0.732 0.997 0.002
0.997 0.257 0.237
0.512 0.756 0.740
0.507 0.744 0.262
0.228 0.496 0.499
0.772 0.996 0.501
0.493 0.244 0.738
0.255 0.002 0.501
0.745 0.502 0.499
0.255 0.002 0.000
0.745 0.502 0.000
0.239 0.491 0.230
0.761 0.991 0.770
```

V in Å³/cell: 256.0


--- R ---
A relaxed structure of Sr2TaIrN4O2. Source: the Open Quantum Materials Database, functional GGA-PBE.

The structure in POSCAR format:
```
Sr2TaIrN4O2
1.0
-4.175 -3.677 1.008
3.604 -4.285 -0.793
1.795 0.120 7.798
O N Sr Ir Ta
4 8 4 2 2
Direct
0.221 0.222 0.518
0.750 0.756 0.021
0.976 0.510 0.751
0.726 0.270 0.497
0.018 0.491 0.250
0.757 0.265 0.002
0.482 0.013 0.257
0.269 0.732 0.503
0.249 0.256 0.988
0.513 0.992 0.741
0.240 0.747 0.996
0.765 0.768 0.488
0.511 0.499 0.249
0.996 0.003 0.249
0.998 0.998 0.748
0.511 0.495 0.746
0.015 0.494 0.014
0.502 0.975 0.494
0.496 0.010 0.991
0.005 0.505 0.499
```

V in Å³/cell: 255.9


Preferred: Q; penalty for the next structure: 0.011 eV/atom.


--- P ---
A relaxed structure of TbIrNO. Source: the Open Quantum Materials Database, functional GGA-PBE.

The structure in POSCAR format:
```
TbIrNO
1.0
4.192 0.000 0.000
0.000 4.736 0.000
0.000 0.000 6.432
Tb N O Ir
2 2 2 2
Direct
0.500 0.483 0.798
0.500 0.983 0.202
0.000 0.850 0.304
0.000 0.350 0.696
0.500 0.449 0.136
0.500 0.949 0.864
0.000 0.972 0.587
0.000 0.472 0.413
```

V in Å³/cell: 127.7


--- Q ---
A relaxed structure of TbIrNO. Source: the Open Quantum Materials Database, functional GGA-PBE.

The structure in POSCAR format:
```
TbIrNO
1.0
3.934 0.000 0.000
0.000 3.934 0.000
0.000 0.000 7.304
N Ir O Tb
2 2 2 2
Direct
0.000 0.500 0.609
0.500 0.000 0.391
0.000 0.000 0.500
0.500 0.500 0.500
0.500 0.500 0.000
0.000 0.000 0.000
0.000 0.500 0.149
0.500 0.000 0.851
```

V in Å³/cell: 113.0


Preferred: Q; penalty for the next structure: 0.146 eV/atom.


--- P ---
A relaxed structure of TbIrNO. Source: the Open Quantum Materials Database, functional GGA-PBE.

The structure in POSCAR format:
```
TbIrNO
1.0
-0.140 4.097 -4.331
-5.509 -2.207 0.592
-0.454 2.127 2.229
Tb O Ir N
2 2 2 2
Direct
0.431 0.835 0.569
0.835 0.431 0.569
0.672 0.105 0.096
0.105 0.672 0.096
0.348 0.348 0.828
0.901 0.901 0.116
0.619 0.619 0.061
0.089 0.089 0.663
```

V in Å³/cell: 105.2


--- Q ---
A relaxed structure of TbIrNO. Source: the Open Quantum Materials Database, functional GGA-PBE.

The structure in POSCAR format:
```
TbIrNO
1.0
-1.796 -3.502 3.865
-5.282 -2.899 -5.081
3.493 -3.558 -1.601
N Tb Ir O
4 4 4 4
Direct
0.633 0.153 0.700
0.867 0.153 0.200
0.133 0.847 0.700
0.367 0.847 0.200
0.977 0.356 0.860
0.477 0.644 0.860
0.523 0.356 0.360
0.023 0.644 0.360
0.919 0.026 0.535
0.081 0.974 0.035
0.419 0.974 0.535
0.581 0.026 0.035
0.250 0.479 0.607
0.750 0.521 0.607
0.750 0.521 0.107
0.250 0.479 0.107
```

V in Å³/cell: 227.7


--- R ---
A relaxed structure of TbIrNO. Source: the Open Quantum Materials Database, functional GGA-PBE.

The structure in POSCAR format:
```
TbIrNO
1.0
3.575 0.810 0.654
-1.302 4.826 1.137
-0.640 -1.409 5.245
O N Ir Tb
2 2 2 2
Direct
0.500 0.756 0.979
0.500 0.256 0.021
0.000 0.995 0.340
0.000 0.495 0.660
0.500 0.499 0.637
0.500 0.999 0.363
0.000 0.004 0.803
0.000 0.504 0.197
```

V in Å³/cell: 104.4


Preferred: Q; penalty for the next structure: 0.347 eV/atom.


--- P ---
A relaxed structure of TcIrNO. Source: the Open Quantum Materials Database, functional GGA-PBE.

The structure in POSCAR format:
```
TcIrNO
1.0
-0.720 2.691 -2.554
-2.349 -2.345 -1.808
-4.673 2.022 3.449
O N Tc Ir
2 2 2 2
Direct
0.250 0.750 0.000
0.750 0.250 0.000
0.250 0.250 0.638
0.750 0.750 0.362
0.250 0.750 0.500
0.750 0.250 0.500
0.750 0.750 0.828
0.250 0.250 0.172
```

V in Å³/cell: 87.8


--- Q ---
A relaxed structure of TcIrNO. Source: the Open Quantum Materials Database, functional GGA-PBE.

The structure in POSCAR format:
```
TcIrNO
1.0
0.130 2.288 -1.529
1.516 2.956 4.552
5.721 -1.114 -1.182
Ir N Tc O
2 2 2 2
Direct
0.500 0.057 0.224
0.500 0.557 0.776
0.000 0.314 0.674
0.000 0.814 0.326
0.000 0.969 0.623
0.000 0.469 0.377
0.500 0.414 0.125
0.500 0.914 0.875
```

V in Å³/cell: 92.3


--- R ---
A relaxed structure of TcIrNO. Source: the Open Quantum Materials Database, functional GGA-PBE.

The structure in POSCAR format:
```
TcIrNO
1.0
-2.749 -2.225 -3.292
4.089 -2.547 -1.693
-1.422 -5.578 4.957
Ir O N Tc
4 4 4 4
Direct
0.038 0.528 0.573
0.538 0.472 0.427
0.538 0.972 0.573
0.038 0.028 0.427
0.081 0.395 0.975
0.581 0.605 0.025
0.581 0.105 0.975
0.081 0.895 0.025
0.153 0.394 0.336
0.653 0.606 0.664
0.653 0.106 0.336
0.153 0.894 0.664
0.930 0.116 0.829
0.430 0.884 0.171
0.930 0.616 0.171
0.430 0.384 0.829
```

V in Å³/cell: 187.4


Preferred: Q; penalty for the next structure: 0.104 eV/atom.